Record 1
This record from Alexandria via LeMat-Bulk describes TlPC3 after structural relaxation. The functional is GGA-PBE. Values from VASP.

ρ in g cm⁻³: 8.1
Symmetry: Pm-3m, No. 221
Total DFT energy (no corrections) in eV/atom: -4.902
ΔE to the lowest computed polymorph in eV/atom: 0.000
Formation enthalpy at 0 K in meV per atom: 2187.2

The structure in Quantum ESPRESSO input format:
```
&SYSTEM
  ibrav = 0, nat = 5, ntyp = 3
/
ATOMIC_SPECIES
Tl 204.38 Tl.upf
P 30.97 P.upf
C 12.01 C.upf
ATOMIC_POSITIONS angstrom
Tl 0.000 0.000 0.000
P 1.909 1.909 1.909
C 0.000 1.909 1.909
C 1.909 0.000 1.909
C 1.909 1.909 0.000
CELL_PARAMETERS angstrom
3.818 0.000 0.000
0.000 3.818 0.000
0.000 0.000 3.818
```


Record 2
This record from Alexandria via LeMat-Bulk describes PrZrSnHg after structural relaxation. The functional is GGA-PBE. Values from VASP.

ρ in g cm⁻³: 8.9
Symmetry: F-43m, No. 216
Total DFT energy (no corrections) in eV/atom: -4.740
Formation enthalpy at 0 K in meV per atom: -331.4

The structure in Quantum ESPRESSO input format:
```
&SYSTEM
  ibrav = 0, nat = 4, ntyp = 4
/
ATOMIC_SPECIES
Pr 140.91 Pr.upf
Zr 91.22 Zr.upf
Sn 118.71 Sn.upf
Hg 200.59 Hg.upf
ATOMIC_POSITIONS angstrom
Pr 0.000 0.000 0.000
Zr 3.712 3.712 3.712
Sn 1.856 1.856 1.856
Hg 5.568 5.568 5.568
CELL_PARAMETERS angstrom
0.000 3.712 3.712
3.712 0.000 3.712
3.712 3.712 0.000
```